Model a:
Computed, not measured: RbHfSn2 after structural relaxation at the PBE level of DFT.

Geometry as POSCAR:
```
RbHfSn2
1.0
6.3452 0.0000 0.0000
0.0000 6.3452 0.0000
3.1726 3.1726 9.1746
Sn Rb Hf
4 2 2
direct
0.3750 0.1771 0.7500
0.9271 0.6250 0.2500
0.8229 0.1250 0.2500
0.8750 0.0729 0.7500
0.2500 0.7500 0.5000
0.5000 0.5000 0.0000
0.0000 0.0000 0.0000
0.7500 0.2500 0.5000
```

=====

Model b:
Computed, not measured: RbHfSn2 after structural relaxation at the PBE level of DFT.

Geometry as POSCAR:
```
RbHfSn2
1.0
0.0000 3.8287 3.8287
3.8287 0.0000 3.8287
3.8287 3.8287 0.0000
Sn Hf Rb
2 1 1
direct
0.2500 0.2500 0.2500
0.7500 0.7500 0.7500
0.5000 0.5000 0.5000
0.0000 0.0000 0.0000
```

=====

Name the most stable of them. model a.

=====

Model a:
Computed, not measured: RbSr2Hf after structural relaxation at the PBE level of DFT.

Geometry as POSCAR:
```
RbSr2Hf
1.0
5.5211 0.0000 0.0000
0.0000 5.5211 0.0000
2.7606 2.7606 12.8126
Rb Hf Sr
2 2 4
direct
0.2500 0.7500 0.5000
0.5000 0.5000 0.0000
0.7500 0.2500 0.5000
0.0000 0.0000 0.0000
0.6467 0.1250 0.2500
0.3750 0.3533 0.7500
0.8750 0.8967 0.7500
0.1033 0.6250 0.2500
```

=====

Model b:
Computed, not measured: RbSr2Hf after structural relaxation at the PBE level of DFT.

Geometry as POSCAR:
```
RbSr2Hf
1.0
5.8509 -1.4152 1.6677
1.6654 -5.9681 0.7907
3.8388 -2.7402 -4.0953
Rb Hf Sr
1 1 2
direct
0.0000 0.0000 0.0000
0.5000 0.5000 0.5000
0.7500 0.7500 0.7500
0.2500 0.2500 0.2500
```

=====

Name the most stable of them. model b.

=====

Model a:
Computed, not measured: RbHf3Ta after structural relaxation at the PBE level of DFT.

Geometry as POSCAR:
```
RbHf3Ta
1.0
4.9217 0.0000 0.0000
0.0000 4.9217 0.0000
0.0000 0.0000 4.9217
Ta Hf Rb
1 3 1
direct
0.5000 0.5000 0.5000
0.0000 0.0000 0.5000
0.0000 0.5000 0.0000
0.5000 0.0000 0.0000
0.0000 0.0000 0.0000
```

=====

Model b:
Computed, not measured: RbHf3Ta after structural relaxation at the PBE level of DFT.

Geometry as POSCAR:
```
RbHf3Ta
1.0
5.3138 0.0000 0.0000
0.0000 5.3138 0.0000
0.0000 0.0000 5.3138
Hf Ta Rb
3 1 1
direct
0.0000 0.5000 0.0000
0.5000 0.0000 0.0000
0.0000 0.0000 0.5000
0.0000 0.0000 0.0000
0.5000 0.5000 0.5000
```

=====

Name the most stable of them. model b.

=====

Model a:
Computed, not measured: RbHfTa2 after structural relaxation at the PBE level of DFT.

Geometry as POSCAR:
```
RbHfTa2
1.0
1.3723 3.9955 2.7565
-2.8163 1.4409 3.9291
1.7104 -0.6466 4.7013
Rb Ta Hf
1 2 1
direct
0.0000 0.0000 0.0000
0.7500 0.7500 0.7500
0.2500 0.2500 0.2500
0.5000 0.5000 0.5000
```

=====

Model b:
Computed, not measured: RbHfTa2 after structural relaxation at the PBE level of DFT.

Geometry as POSCAR:
```
RbHfTa2
1.0
-2.7100 -1.7431 2.8503
-0.1065 -3.6231 -2.3170
6.6994 -6.3982 5.7035
Rb Ta Hf
2 4 2
direct
0.5000 0.5000 0.0000
0.2500 0.7500 0.5000
0.3750 0.3395 0.7500
0.0895 0.6250 0.2500
0.6605 0.1250 0.2500
0.8750 0.9105 0.7500
0.7500 0.2500 0.5000
0.0000 0.0000 0.0000
```

=====

Name the most stable of them. model a.

=====

Model a:
Computed, not measured: RbHfTc3 after structural relaxation at the PBE level of DFT.

Geometry as POSCAR:
```
RbHfTc3
1.0
5.0103 0.0000 0.0000
0.0000 5.0103 0.0000
0.0000 0.0000 5.0103
Tc Rb Hf
3 1 1
direct
0.0000 0.0000 0.5000
0.5000 0.0000 0.0000
0.0000 0.5000 0.0000
0.5000 0.5000 0.5000
0.0000 0.0000 0.0000
```

=====

Model b:
Computed, not measured: RbHfTc3 after structural relaxation at the PBE level of DFT.

Geometry as POSCAR:
```
RbHfTc3
1.0
-1.5354 -1.8625 3.9546
-3.6302 -1.7914 -2.2532
2.4349 -3.8454 -0.8657
Hf Tc Rb
1 3 1
direct
0.5000 0.5000 0.5000
0.0000 0.5000 0.0000
0.0000 0.0000 0.5000
0.5000 0.0000 0.0000
0.0000 0.0000 0.0000
```

=====

Name the most stable of them. model a.

=====

Model a:
Computed, not measured: Rb2Hf2Te after structural relaxation at the PBE level of DFT.

Geometry as POSCAR:
```
Rb2Hf2Te
1.0
4.3668 0.0000 0.0000
0.0000 4.3668 0.0000
2.1834 2.1834 8.7994
Hf Rb Te
2 2 1
direct
0.4295 0.4295 0.1410
0.5705 0.5705 0.8590
0.2500 0.7500 0.5000
0.7500 0.2500 0.5000
0.0000 0.0000 0.0000
```

=====

Model b:
Computed, not measured: Rb2Hf2Te after structural relaxation at the PBE level of DFT.

Geometry as POSCAR:
```
Rb2Hf2Te
1.0
-7.1526 -1.4232 1.0513
1.6450 -3.7358 6.1342
-0.6043 5.7381 3.6566
Te Hf Rb
2 4 4
direct
0.5000 0.5000 0.0000
0.0000 0.0000 0.0000
0.8583 0.6417 0.0000
0.1417 0.3583 0.0000
0.3583 0.8583 0.0000
0.6417 0.1417 0.0000
0.6805 0.8195 0.5000
0.8195 0.3195 0.5000
0.3195 0.1805 0.5000
0.1805 0.6805 0.5000
```

=====

Name the most stable of them. model b.

=====

Model a:
Computed, not measured: RbHfTe4 after structural relaxation at the PBE level of DFT.

Geometry as POSCAR:
```
RbHfTe4
1.0
6.3684 0.0000 0.6563
0.0000 9.4121 0.0000
-0.9410 -4.7060 7.8414
Hf Te Rb
2 8 2
direct
0.2632 0.5133 0.0266
0.7368 0.4867 0.9734
0.4073 0.1935 0.7705
0.7213 0.3043 0.6086
0.4073 0.5770 0.7705
0.0000 0.7524 0.0000
0.2787 0.6957 0.3914
0.5927 0.8065 0.2295
0.0000 0.2476 0.0000
0.5927 0.4230 0.2295
0.2249 0.1717 0.3435
0.7751 0.8283 0.6565
```

=====

Model b:
Computed, not measured: RbHfTe4 after structural relaxation at the PBE level of DFT.

Geometry as POSCAR:
```
RbHfTe4
1.0
-6.5716 0.1814 -2.9145
-1.0040 -5.6881 -6.6336
-2.8701 -8.2602 1.6858
Te Hf Rb
8 2 2
direct
0.9692 0.9172 0.2931
0.1315 0.6528 0.1577
0.4692 0.2103 0.7069
0.3685 0.1896 0.1577
0.6315 0.8104 0.8423
0.5308 0.7897 0.2931
0.8685 0.3472 0.8423
0.0308 0.0828 0.7069
0.7500 0.9999 0.0002
0.2500 0.0001 0.9998
0.7500 0.3608 0.2785
0.2500 0.6392 0.7215
```

=====

Name the most stable of them. model a.

=====

Model a:
Computed, not measured: RbHf2Ti after structural relaxation at the PBE level of DFT.

Geometry as POSCAR:
```
RbHf2Ti
1.0
-6.0439 3.8728 0.2912
-1.4948 -2.8168 6.4376
-0.5486 5.3397 6.2176
Hf Rb Ti
4 2 2
direct
0.3749 0.6250 0.2500
0.3750 0.6249 0.7500
0.3751 0.1250 0.2500
0.8750 0.6251 0.7500
0.7500 0.2500 0.5000
0.0000 0.0000 0.0000
0.2500 0.7500 0.5000
0.5000 0.5000 0.0000
```

=====

Model b:
Computed, not measured: RbHf2Ti after structural relaxation at the PBE level of DFT.

Geometry as POSCAR:
```
RbHf2Ti
1.0
0.0000 3.6791 3.6791
3.6791 0.0000 3.6791
3.6791 3.6791 0.0000
Ti Hf Rb
1 2 1
direct
0.0000 0.0000 0.0000
0.7500 0.7500 0.7500
0.2500 0.2500 0.2500
0.5000 0.5000 0.5000
```

=====

Name the most stable of them. model b.

=====

Model a:
Computed, not measured: RbHf3Ti after structural relaxation at the PBE level of DFT.

Geometry as POSCAR:
```
RbHf3Ti
1.0
-2.3523 4.6390 0.2450
-4.6171 -2.3650 0.4497
0.5119 -0.0141 5.1818
Hf Rb Ti
3 1 1
direct
0.5000 0.0000 0.0000
0.0000 0.5000 0.0000
0.0000 0.0000 0.5000
0.5000 0.5000 0.5000
0.0000 0.0000 0.0000
```

=====

Model b:
Computed, not measured: RbHf3Ti after structural relaxation at the PBE level of DFT.

Geometry as POSCAR:
```
RbHf3Ti
1.0
-4.4779 1.7463 -1.2802
-0.4146 -3.5778 -3.4304
-2.1253 -2.9816 3.3665
Hf Ti Rb
3 1 1
direct
0.5000 0.0000 0.0000
0.0000 0.5000 0.0000
0.0000 0.0000 0.5000
0.5000 0.5000 0.5000
0.0000 0.0000 0.0000
```

=====

Name the most stable of them. model a.

=====

Model a:
Computed, not measured: RbHfTl2 after structural relaxation at the PBE level of DFT.

Geometry as POSCAR:
```
RbHfTl2
1.0
6.0874 0.0000 0.0000
0.0000 6.0874 0.0000
3.0437 3.0437 9.5305
Rb Hf Tl
2 2 4
direct
0.2500 0.7500 0.5000
0.5000 0.5000 0.0000
0.0000 0.0000 0.0000
0.7500 0.2500 0.5000
0.3750 0.2286 0.7500
0.7714 0.1250 0.2500
0.9786 0.6250 0.2500
0.8750 0.0214 0.7500
```

=====

Model b:
Computed, not measured: RbHfTl2 after structural relaxation at the PBE level of DFT.

Geometry as POSCAR:
```
RbHfTl2
1.0
0.0000 3.9150 3.9150
3.9150 0.0000 3.9150
3.9150 3.9150 0.0000
Rb Tl Hf
1 2 1
direct
0.0000 0.0000 0.0000
0.2500 0.2500 0.2500
0.7500 0.7500 0.7500
0.5000 0.5000 0.5000
```

=====

Name the most stable of them. model b.

=====

Model a:
Computed, not measured: Rb2HfV after structural relaxation at the PBE level of DFT.

Geometry as POSCAR:
```
Rb2HfV
1.0
1.3421 -5.7328 -1.2957
-1.7673 -4.4199 3.6996
-4.3542 -3.8026 -1.7108
V Rb Hf
1 2 1
direct
0.0000 0.0000 0.0000
0.2500 0.2500 0.2500
0.7500 0.7500 0.7500
0.5000 0.5000 0.5000
```

=====

Model b:
Computed, not measured: Rb2HfV after structural relaxation at the PBE level of DFT.

Geometry as POSCAR:
```
Rb2HfV
1.0
-13.7164 1.0681 -0.1038
-0.6477 -7.1793 11.7187
-7.0348 -1.0443 7.0478
Hf Rb V
2 4 2
direct
0.0000 0.0000 0.0000
0.7500 0.2500 0.5000
0.4579 0.1250 0.2500
0.3750 0.5421 0.7500
0.2921 0.6250 0.2500
0.8750 0.7079 0.7500
0.2500 0.7500 0.5000
0.5000 0.5000 0.0000
```

=====

Name the most stable of them. model b.

=====

Model a:
Computed, not measured: RbHf2V after structural relaxation at the PBE level of DFT.

Geometry as POSCAR:
```
RbHf2V
1.0
0.1155 -4.8191 1.7588
-4.2645 -2.8534 -0.0529
-0.4141 -3.9345 -3.2678
V Rb Hf
1 1 2
direct
0.0000 0.0000 0.0000
0.5000 0.5000 0.5000
0.2500 0.2500 0.2500
0.7500 0.7500 0.7500
```

=====

Model b:
Computed, not measured: RbHf2V after structural relaxation at the PBE level of DFT.

Geometry as POSCAR:
```
RbHf2V
1.0
-2.9720 -5.5671 -4.2113
4.8691 -4.9331 3.0851
-2.5927 -6.3079 3.3343
Rb Hf V
2 4 2
direct
0.7500 0.2500 0.5000
0.0000 0.0000 0.0000
0.8750 0.6249 0.7500
0.3751 0.6250 0.2500
0.3749 0.1250 0.2500
0.3750 0.6251 0.7500
0.5000 0.5000 0.0000
0.2500 0.7500 0.5000
```

=====

Name the most stable of them. model a.